Record 1
Compound: PuThAu4
Source: the Alexandria database
Functional: PBE
Structure: relaxed

Cell: 5.5945 4.2920 6.9904 Å, 90.00 110.29 90.00°
Last column: nearest neighbours and their distance in Å.
Positions (direct):
1 Pu 0.0000 0.0000 0.0000  8 Au 3.00-3.29
2 Th 0.5000 0.5000 0.5000  8 Au 3.00-3.30
3 Au 0.0652 0.5000 0.7213  3 Au 2.90-2.92, 1 Th 3.00, 2 Pu 3.00
4 Au 0.4328 0.0000 0.7797  3 Au 2.90-2.91, 1 Pu 3.01, 2 Th 3.01
5 Au 0.5672 0.0000 0.2203  3 Au 2.90-2.91, 1 Pu 3.01, 2 Th 3.01
6 Au 0.9348 0.5000 0.2787  3 Au 2.90-2.92, 1 Th 3.00, 2 Pu 3.00

Computed properties:
Space-group type = P2/m, No. 10
Total DFT energy (no corrections) = -6.20 eV/atom
Energy relative to the lowest polymorph listed for this composition = 193.2 meV/atom
Energy of formation = -388 meV/atom

---

Record 2
Compound: VCl
Source: the Alexandria database
Functional: PBE
Structure: relaxed

Cell: 6.5356 6.5356 6.5356 Å, 109.47 109.47 109.47°
Last column: nearest neighbours and their distance in Å.
Positions (direct):
1 V 0.0000 0.0000 0.2147  3 V 2.29, 4 Cl 2.49-2.54
2 V 0.0000 0.2147 0.0000  3 V 2.29, 4 Cl 2.49-2.54
3 V 0.2147 0.0000 0.0000  3 V 2.29, 4 Cl 2.49-2.54
4 V 0.7853 0.7853 0.7853  3 V 2.29, 4 Cl 2.49-2.54
5 Cl 0.0000 0.0000 0.5959  4 V 2.49-2.54
6 Cl 0.0000 0.5959 0.0000  4 V 2.49-2.54
7 Cl 0.4041 0.4041 0.4041  4 V 2.49-2.54
8 Cl 0.5959 0.0000 0.0000  4 V 2.49-2.54

Computed properties:
Uncorrected formation energy = -0.1441 eV/atom
Space-group type = I-43m, No. 217
Total DFT energy (no corrections) = -5.63 eV/atom

---

Q: total DFT energy (no corrections) of number 2 (VCl)?
A: -5.63 eV/atom

---

Q: What is the total DFT energy (no corrections) in the first record?
A: -6.20 eV/atom

---

What did the first record say?
Compound: PuThAu4
Source: the Alexandria database
Functional: PBE
Structure: relaxed

Cell: 5.5945 4.2920 6.9904 Å, 90.00 110.29 90.00°
Last column: nearest neighbours and their distance in Å.
Positions (direct):
1 Pu 0.0000 0.0000 0.0000  8 Au 3.00-3.29
2 Th 0.5000 0.5000 0.5000  8 Au 3.00-3.30
3 Au 0.0652 0.5000 0.7213  3 Au 2.90-2.92, 1 Th 3.00, 2 Pu 3.00
4 Au 0.4328 0.0000 0.7797  3 Au 2.90-2.91, 1 Pu 3.01, 2 Th 3.01
5 Au 0.5672 0.0000 0.2203  3 Au 2.90-2.91, 1 Pu 3.01, 2 Th 3.01
6 Au 0.9348 0.5000 0.2787  3 Au 2.90-2.92, 1 Th 3.00, 2 Pu 3.00

Computed properties:
Space-group type = P2/m, No. 10
Total DFT energy (no corrections) = -6.20 eV/atom
Energy relative to the lowest polymorph listed for this composition = 193.2 meV/atom
Energy of formation = -388 meV/atom